VASP calculation (PBE-GGA) on a geometry-optimized NaDy2GeO5 structure. Values from VASP.

Geometry as Quantum ESPRESSO input:
```
&SYSTEM
  ibrav = 0, nat = 18, ntyp = 4
/
ATOMIC_SPECIES
Na 22.99 Na.upf
Dy 162.50 Dy.upf
Ge 72.64 Ge.upf
O 16.00 O.upf
ATOMIC_POSITIONS crystal
Na 0.2500 0.2500 0.0000
Na 0.7500 0.7500 0.0000
Dy 0.1781 0.6781 0.8562
Dy 0.3219 0.1781 0.5000
Dy 0.6781 0.8219 0.5000
Dy 0.8219 0.3219 0.1438
Ge 0.2500 0.7500 0.5000
Ge 0.7500 0.2500 0.5000
O 0.0000 0.0000 0.0000
O 0.0134 0.2330 0.5000
O 0.2330 0.7330 0.2195
O 0.2670 0.4866 0.5000
O 0.4866 0.9866 0.2195
O 0.5000 0.5000 0.0000
O 0.5134 0.0134 0.7805
O 0.7330 0.5134 0.5000
O 0.7670 0.2670 0.7805
O 0.9866 0.7670 0.5000
CELL_PARAMETERS angstrom
-3.2781 3.2781 5.7309
3.2781 -3.2781 5.7309
3.2781 3.2781 -5.7309
```



VASP calculation (PBE-GGA) on a geometry-optimized Ac2PuAs3Pd4 structure. Values from VASP.

Computed properties:
E_form = -0.86 eV/atom

Geometry as Quantum ESPRESSO input:
```
&SYSTEM
  ibrav = 0, nat = 10, ntyp = 4
/
ATOMIC_SPECIES
Ac 227.00 Ac.upf
Pu 244.00 Pu.upf
As 74.92 As.upf
Pd 106.42 Pd.upf
ATOMIC_POSITIONS crystal
Ac 0.0000 0.5000 0.2196
Ac 0.5000 0.0000 0.7804
Pu 0.0000 0.0000 0.5000
As 0.0000 0.5000 0.8768
As 0.5000 0.0000 0.1232
As 0.5000 0.5000 0.5000
Pd 0.0000 0.0000 0.0000
Pd 0.0000 0.5000 0.6595
Pd 0.5000 0.0000 0.3405
Pd 0.5000 0.5000 0.0000
CELL_PARAMETERS angstrom
4.3902 0.0000 0.0000
0.0000 4.3902 0.0000
0.0000 0.0000 11.5578
```



VASP calculation (PBE-GGA) on a geometry-optimized Sm5InBi4 structure. Values from VASP.

Computed properties:
E_form = -0.75 eV/atom

Geometry as Quantum ESPRESSO input:
```
&SYSTEM
  ibrav = 0, nat = 10, ntyp = 3
/
ATOMIC_SPECIES
Sm 150.36 Sm.upf
In 114.82 In.upf
Bi 208.98 Bi.upf
ATOMIC_POSITIONS crystal
Sm 0.0000 0.0000 0.0000
Sm 0.1973 0.3981 0.5938
Sm 0.3981 0.8043 0.2009
Sm 0.6035 0.1973 0.7991
Sm 0.8043 0.6035 0.4062
In 0.4999 0.4999 0.0000
Bi 0.1003 0.7012 0.7998
Bi 0.3005 0.1003 0.3991
Bi 0.7012 0.9014 0.6009
Bi 0.9014 0.3005 0.2002
CELL_PARAMETERS angstrom
-5.0838 5.0838 3.2070
5.0838 -5.0838 3.2070
5.0838 5.0838 -3.2070
```



VASP calculation (PBE-GGA) on a geometry-optimized NaCa2Sn structure. Values from VASP.

Computed properties:
E_form = -0.33 eV/atom

Geometry as Quantum ESPRESSO input:
```
&SYSTEM
  ibrav = 0, nat = 4, ntyp = 3
/
ATOMIC_SPECIES
Na 22.99 Na.upf
Ca 40.08 Ca.upf
Sn 118.71 Sn.upf
ATOMIC_POSITIONS crystal
Na 0.0000 0.0000 0.0000
Ca 0.0000 0.5000 0.5000
Ca 0.5000 0.0000 0.5000
Sn 0.5000 0.5000 0.0000
CELL_PARAMETERS angstrom
5.2793 0.0000 0.0000
0.0000 5.2793 0.0000
0.0000 0.0000 4.3982
```



VASP calculation (PBE-GGA) on a geometry-optimized Mn2SiN structure. Values from VASP.

Geometry as Quantum ESPRESSO input:
```
&SYSTEM
  ibrav = 0, nat = 4, ntyp = 3
/
ATOMIC_SPECIES
Mn 54.94 Mn.upf
Si 28.09 Si.upf
N 14.01 N.upf
ATOMIC_POSITIONS crystal
Mn 0.2277 0.2277 0.2277
Mn 0.7723 0.7723 0.7723
Si 0.0000 0.0000 0.0000
N 0.5000 0.5000 0.5000
CELL_PARAMETERS angstrom
1.3844 0.7993 6.0885
-1.3844 0.7993 6.0885
0.0000 -1.5985 6.0885
```



VASP calculation (PBE-GGA) on a geometry-optimized PmPrTl2 structure. Values from VASP.

Computed properties:
E_form = -0.27 eV/atom

Geometry as Quantum ESPRESSO input:
```
&SYSTEM
  ibrav = 0, nat = 4, ntyp = 3
/
ATOMIC_SPECIES
Pm 145.00 Pm.upf
Pr 140.91 Pr.upf
Tl 204.38 Tl.upf
ATOMIC_POSITIONS crystal
Pm 0.0000 0.0000 0.0000
Pr 0.5000 0.5000 0.5000
Tl 0.2511 0.2511 0.2511
Tl 0.7489 0.7489 0.7489
CELL_PARAMETERS angstrom
1.9524 1.1272 9.7848
-1.9524 1.1272 9.7848
0.0000 -2.2544 9.7848
```



VASP calculation (PBE-GGA) on a geometry-optimized ReAgBi2 structure. Values from VASP.

Computed properties:
E_form = 1.01 eV/atom

Geometry as Quantum ESPRESSO input:
```
&SYSTEM
  ibrav = 0, nat = 8, ntyp = 3
/
ATOMIC_SPECIES
Re 186.21 Re.upf
Ag 107.87 Ag.upf
Bi 208.98 Bi.upf
ATOMIC_POSITIONS crystal
Re 0.0000 0.0000 0.0000
Re 0.7500 0.2500 0.5000
Ag 0.2500 0.7500 0.5000
Ag 0.5000 0.5000 0.0000
Bi 0.0958 0.6250 0.9708
Bi 0.3750 0.3458 0.4708
Bi 0.6542 0.1250 0.0292
Bi 0.8750 0.9042 0.5292
CELL_PARAMETERS angstrom
-3.2925 3.2925 5.9941
3.2925 -3.2925 5.9941
3.2925 3.2925 -5.9941
```



VASP calculation (PBE-GGA) on a geometry-optimized U2OsAu structure. Values from VASP.

Computed properties:
E_form = -0.07 eV/atom

Geometry as Quantum ESPRESSO input:
```
&SYSTEM
  ibrav = 0, nat = 4, ntyp = 3
/
ATOMIC_SPECIES
U 238.03 U.upf
Os 190.23 Os.upf
Au 196.97 Au.upf
ATOMIC_POSITIONS crystal
U 0.0000 0.0000 0.2265
U 0.0000 0.0000 0.7735
Os 0.5000 0.5000 0.0000
Au 0.5000 0.5000 0.5000
CELL_PARAMETERS angstrom
3.0505 0.0000 0.0000
0.0000 3.0505 0.0000
0.0000 0.0000 8.5911
```



VASP calculation (PBE-GGA) on a geometry-optimized Mg3Cd structure. Values from VASP.

Computed properties:
E_form = -0.06 eV/atom

Geometry as Quantum ESPRESSO input:
```
&SYSTEM
  ibrav = 0, nat = 4, ntyp = 2
/
ATOMIC_SPECIES
Mg 24.30 Mg.upf
Cd 112.41 Cd.upf
ATOMIC_POSITIONS crystal
Mg 0.0000 0.0000 0.0000
Mg 0.2500 0.7500 0.5000
Mg 0.7500 0.2500 0.5000
Cd 0.5000 0.5000 0.0000
CELL_PARAMETERS angstrom
-2.2157 2.2157 4.5210
2.2157 -2.2157 4.5210
2.2157 2.2157 -4.5210
```



VASP calculation (PBE-GGA) on a geometry-optimized Pr2Cu5Pd5 structure. Values from VASP.

Computed properties:
E_form = -0.46 eV/atom

Geometry as Quantum ESPRESSO input:
```
&SYSTEM
  ibrav = 0, nat = 12, ntyp = 3
/
ATOMIC_SPECIES
Pr 140.91 Pr.upf
Cu 63.55 Cu.upf
Pd 106.42 Pd.upf
ATOMIC_POSITIONS crystal
Pr 0.0000 0.0000 0.0000
Pr 0.0000 0.5000 0.5000
Cu 0.5000 0.0000 0.5000
Cu 0.5000 0.2496 0.2563
Cu 0.5000 0.2496 0.7437
Cu 0.5000 0.7504 0.2563
Cu 0.5000 0.7504 0.7437
Pd 0.0000 0.0000 0.3346
Pd 0.0000 0.0000 0.6654
Pd 0.0000 0.5000 0.1778
Pd 0.0000 0.5000 0.8222
Pd 0.5000 0.5000 0.0000
CELL_PARAMETERS angstrom
4.3666 0.0000 0.0000
0.0000 5.1466 0.0000
0.0000 0.0000 9.2014
```



VASP calculation (PBE-GGA) on a geometry-optimized TlPOs2Pt structure. Values from VASP.

Computed properties:
E_form = 2.18 eV/atom

Geometry as Quantum ESPRESSO input:
```
&SYSTEM
  ibrav = 0, nat = 5, ntyp = 4
/
ATOMIC_SPECIES
Tl 204.38 Tl.upf
P 30.97 P.upf
Os 190.23 Os.upf
Pt 195.08 Pt.upf
ATOMIC_POSITIONS crystal
Tl 0.0000 0.0000 0.0000
P 0.5000 0.5000 0.0000
Os 0.0000 0.5000 0.5000
Os 0.5000 0.0000 0.5000
Pt 0.0000 0.0000 0.5000
CELL_PARAMETERS angstrom
4.8214 0.0000 0.0000
0.0000 4.8214 0.0000
0.0000 0.0000 5.0645
```



VASP calculation (PBE-GGA) on a geometry-optimized Pr3Tl4BiS8 structure. Values from VASP.

Geometry as Quantum ESPRESSO input:
```
&SYSTEM
  ibrav = 0, nat = 16, ntyp = 4
/
ATOMIC_SPECIES
Pr 140.91 Pr.upf
Tl 204.38 Tl.upf
Bi 208.98 Bi.upf
S 32.06 S.upf
ATOMIC_POSITIONS crystal
Pr 0.0000 0.5000 0.5000
Pr 0.5000 0.0000 0.5000
Pr 0.5000 0.5000 0.0000
Tl 0.0000 0.0000 0.5000
Tl 0.0000 0.5000 0.0000
Tl 0.5000 0.0000 0.0000
Tl 0.5000 0.5000 0.5000
Bi 0.0000 0.0000 0.0000
S 0.2348 0.2348 0.7371
S 0.2348 0.7371 0.2348
S 0.2629 0.7652 0.7652
S 0.2647 0.2647 0.2647
S 0.7353 0.7353 0.7353
S 0.7371 0.2348 0.2348
S 0.7652 0.2629 0.7652
S 0.7652 0.7652 0.2629
CELL_PARAMETERS angstrom
4.2019 2.4260 7.4820
-4.2019 2.4260 7.4820
0.0000 -4.8519 7.4820
```



For the records above, the corresponding VASP energy values read -6.8525 -6.5878 -4.9398 -2.6651 -8.2867 -3.8342 -4.7539 -9.3455 -1.4802 -5.1314 -5.0786 -4.9806 eV per atom.